Version i
First-principles (PBE) data for crystalline LiCoRe2Os at its relaxed geometry, as listed in Alexandria via LeMat-Bulk.

Unit cell a=4.060 b=4.037 c=4.060 alpha=90.00 beta=90.00 gamma=90.00
Fractional positions:
Co: 0.500 0.500 0.500
Li: 0.000 0.000 0.000
Os: 0.000 0.500 0.000
Re: 0.500 0.000 0.000
Re: 0.000 0.000 0.500

## Properties
The value obtained for the spin magnetization is 0.00 Bohr magnetons per cell. The space group is P4/mmm, No. 123. Its calculated density is 15689 kg/m3. The density of states at the Fermi level is 4.30 states/eV/cell.

***

Version ii
First-principles (PBE) data for crystalline LiCoRe2Os at its relaxed geometry, as listed in Alexandria via LeMat-Bulk.

Unit cell a=4.411 b=3.795 c=4.411 alpha=90.00 beta=90.00 gamma=90.00
Fractional positions:
Re: 0.500 0.000 0.000
Re: 0.000 0.000 0.500
Li: 0.000 0.500 0.000
Co: 0.000 0.000 0.000
Os: 0.500 0.500 0.500

## Properties
The value obtained for the spin magnetization is 0.00 Bohr magnetons per cell. The space group is P4/mmm, No. 123. Its calculated density is 14139 kg/m3. The density of states at the Fermi level is 6.93 states/eV/cell.

***

Of all the structures shown, which is most stable? version ii, and version i is the least stable.